# Co2NiIrO6

A relaxed structure of Co2NiIrO6 (GGA+U, the Alexandria database).

## Properties
N(E_F) ... 3.9 states/eV/cell
Total energy ... -60.096 eV/f.u.
SG ... No. 146

Cell: 5.4300 5.4300 5.4300 Å, 55.53 55.53 55.53°
Fractional positions:
1 Co 0.0000 0.0000 0.0000
2 Co 0.4819 0.4819 0.4819
3 Ni 0.1974 0.1974 0.1974
4 Ir 0.6837 0.6837 0.6837
5 O 0.0781 0.3942 0.7914
6 O 0.2737 0.8995 0.6141
7 O 0.3942 0.7914 0.0781
8 O 0.6141 0.2737 0.8995
9 O 0.7914 0.0781 0.3942
10 O 0.8995 0.6141 0.2737